# Li2ZnCl4, relaxed, DFT PBEsol
# V	19.8	A^3/atom
# formation energy (no corrections)	-1.52	eV/atom
data_Li2ZnCl4
_chemical_formula_sum 'Li8 Zn4 Cl16'
_cell_length_a 12.606
_cell_length_b 7.305
_cell_length_c 6.035
_cell_angle_alpha 90.00
_cell_angle_beta 90.00
_cell_angle_gamma 90.00
_space_group_name_H-M_alt 'P n m a'
_space_group_IT_number 62
loop_
_space_group_symop_operation_xyz
'x,y,z'
'-x,-y,-z'
'-x+1/2,-y,z+1/2'
'x+1/2,y,-z+1/2'
'x+1/2,-y+1/2,-z+1/2'
'-x+1/2,y+1/2,z+1/2'
'-x,y+1/2,-z'
'x,-y+1/2,z'
loop_
_atom_site_label
_atom_site_type_symbol
_atom_site_fract_x
_atom_site_fract_y
_atom_site_fract_z
_atom_site_occupancy
Li1 Li 0.000 0.000 0.000 1
Li2 Li 0.232 0.250 0.498 1
Zn1 Zn 0.089 0.750 0.416 1
Cl1 Cl 0.075 0.250 0.748 1
Cl2 Cl 0.089 0.750 0.785 1
Cl3 Cl 0.167 0.506 0.249 1

# Ga3RuPt, relaxed, DFT PBEsol
# V	20.2	A^3/atom
# ΔE_f	0.67	eV/atom
data_Ga3RuPt
_chemical_formula_sum 'Ga3 Ru1 Pt1'
_cell_length_a 4.658
_cell_length_b 4.658
_cell_length_c 4.658
_cell_angle_alpha 90.00
_cell_angle_beta 90.00
_cell_angle_gamma 90.00
_space_group_name_H-M_alt 'P m -3 m'
_space_group_IT_number 221
_space_group_name_Hall '-P 4 2 3'
loop_
_atom_site_label
_atom_site_type_symbol
_atom_site_fract_x
_atom_site_fract_y
_atom_site_fract_z
_atom_site_occupancy
Ga1 Ga 0.000 0.000 0.500 1
Ru1 Ru 0.500 0.500 0.500 1
Pt1 Pt 0.000 0.000 0.000 1

# MgPtW2, relaxed, DFT PBEsol
# V	15.6	A^3/atom
# ΔE_f	0.16	eV/atom
data_MgPtW2
_chemical_formula_sum 'Mg2 Pt2 W4'
_cell_length_a 5.224
_cell_length_b 8.847
_cell_length_c 2.696
_cell_angle_alpha 90.00
_cell_angle_beta 90.00
_cell_angle_gamma 90.00
_space_group_name_H-M_alt 'C m m m'
_space_group_IT_number 65
_space_group_name_Hall '-C 2 2'
loop_
_atom_site_label
_atom_site_type_symbol
_atom_site_fract_x
_atom_site_fract_y
_atom_site_fract_z
_atom_site_occupancy
Mg1 Mg 0.000 0.000 0.000 1
Pt1 Pt 0.000 0.500 0.000 1
W1 W 0.250 0.250 0.500 1